Model one:
Below is a relaxed AcNiAs crystal, with properties calculated at the GGA-PBE level.

## Properties
Total magnetization (Bohr magnetons per cell): 0.0
DOS(E_F) (states/eV/f.u.): 2.25

Lattice parameters (Å, degrees): 11.0730 4.2139 7.3541 90.00 128.16 90.00
Closest atoms and distances in Å follow each position.
Space group C2/m (No. 12)
Unique sites:
1 Ac 0.0457 0.0000 0.2992 x4  6 As 3.12-3.48, 5 Ni 3.13-3.49
2 Ni 0.1640 0.5000 0.0906 x4  3 As 2.40-2.63
3 As 0.2046 0.5000 0.7736 x4  3 Ni 2.40-2.63



Model two:
Below is a relaxed AcNiAs crystal, with properties calculated at the GGA-PBE level.

## Properties
Total magnetization (Bohr magnetons per cell): 0.0
DOS(E_F) (states/eV/f.u.): 1.37

Lattice parameters (Å, degrees): 4.2605 4.2605 4.2870 90.00 90.00 120.00
Closest atoms and distances in Å follow each position.
Space group P-6m2 (No. 187)
Unique sites:
1 Ac 0.0000 0.0000 0.0000 x1  6 Ni 3.26, 6 As 3.26
2 Ni 0.3333 0.6667 0.5000 x1  3 As 2.46
3 As 0.6667 0.3333 0.5000 x1  3 Ni 2.46



Model three:
Below is a relaxed AcNiAs crystal, with properties calculated at the GGA-PBE level.

## Properties
Total magnetization (Bohr magnetons per cell): 0.0

Lattice parameters (Å, degrees): 6.5812 6.5812 6.5812 90.00 90.00 90.00
Closest atoms and distances in Å follow each position.
Space group F-43m (No. 216)
Unique sites:
1 Ac 0.0000 0.0000 0.0000 x4  4 Ni 2.85
2 Ni 0.2500 0.2500 0.2500 x4  4 Ac 2.85, 4 As 2.85
3 As 0.0000 0.0000 0.5000 x4  4 Ni 2.85



Model four:
Below is a relaxed AcNiAs crystal, with properties calculated at the GGA-PBE level.

## Properties
Total magnetization (Bohr magnetons per cell): 0.0
DOS(E_F) (states/eV/f.u.): 1.21

Lattice parameters (Å, degrees): 4.2490 4.2490 8.6124 90.00 90.00 120.00
Closest atoms and distances in Å follow each position.
Space group P6_3/mmc (No. 194)
Unique sites:
1 Ac 0.0000 0.0000 0.0000 x2  6 As 3.26, 6 Ni 3.26
2 Ni 0.3333 0.6667 0.2500 x2  3 As 2.45
3 As 0.3333 0.6667 0.7500 x2  3 Ni 2.45



Which structure is most stable? model four, by 0.011 eV/atom over the runner-up.